Entry 1:
DFT (PBE) results for a geometry-optimized TaBeCd structure.

Output
* ΔE to the lowest computed polymorph: 246.7 meV per atom
* DFT formation energy: 0.44 eV/atom
* magnetization: 0.00 μB per formula unit
* space-group type: P3m1 (156)

a = 2.8785 Å, b = 2.8785 Å, c = 6.9316 Å
α = 90.00°, β = 90.00°, γ = 120.00°
Sites, in units of the cell vectors:
Ta 0.0000 0.0000 0.0000
Be 0.3333 0.6667 0.3003
Cd 0.6667 0.3333 0.6187



Entry 2:
DFT (PBE) results for a geometry-optimized Ta3BeCd structure.

Output
* ΔE to the lowest computed polymorph: 1978.6 meV per atom
* DFT formation energy: 2.52 eV/atom
* magnetization: 0.00 μB per formula unit
* space-group type: Pm-3m (221)

a = 4.9356 Å, b = 4.9356 Å, c = 4.9356 Å
α = 90.00°, β = 90.00°, γ = 90.00°
Sites, in units of the cell vectors:
Ta 0.0000 0.0000 0.5000
Ta 0.0000 0.5000 0.0000
Ta 0.5000 0.0000 0.0000
Be 0.5000 0.5000 0.5000
Cd 0.0000 0.0000 0.0000